[1]
The following is a DFT calculation (PBE) of a geometry-optimized Rb2U3CdO12 structure.

a = 8.1098 Å, b = 8.1098 Å, c = 18.3761 Å
α = 90.00°, β = 90.00°, γ = 120.00°
Space group R-3m (No. 166, hexagonal axes)
One atom of each set of equivalent atoms:
Rb1 0.0000 0.0000 0.1267 [6 per cell]
U1 0.0000 0.5000 0.0000 [9 per cell]
Cd1 0.0000 0.0000 0.5000 [3 per cell]
O1 0.0484 0.5242 0.1035 [18 per cell]
O2 0.0798 0.5399 0.3481 [18 per cell]

Computed properties:
For the density of states at the Fermi level, the calculation gives 0.87 states/eV/atom. The value obtained for the energy relative to the elements, uncorrected is -2.46 eV/atom.

***

[2]
The following is a DFT calculation (PBE) of a geometry-optimized ZrNi3Se structure.

a = 4.6236 Å, b = 4.6236 Å, c = 4.6236 Å
α = 90.00°, β = 90.00°, γ = 90.00°
Space group Pm-3m (No. 221)
One atom of each set of equivalent atoms:
Zr1 0.0000 0.0000 0.0000 [1 per cell]
Ni1 0.0000 0.0000 0.5000 [3 per cell]
Se1 0.5000 0.5000 0.5000 [1 per cell]

Computed properties:
For the density of states at the Fermi level, the calculation gives 0.67 states/eV/atom. The value obtained for the energy relative to the elements, uncorrected is 1.21 eV/atom.

***

[3]
The following is a DFT calculation (PBE) of a geometry-optimized Pr2MgURu2 structure.

a = 6.4883 Å, b = 13.9247 Å, c = 6.6013 Å
α = 90.00°, β = 90.00°, γ = 90.00°
Space group Ibam (No. 72)
One atom of each set of equivalent atoms:
Pr1 0.2369 0.1840 0.0000 [8 per cell]
Mg1 0.0000 0.0000 0.2500 [4 per cell]
U1 0.0000 0.5000 0.2500 [4 per cell]
Ru1 0.2015 0.4048 0.0000 [8 per cell]

Computed properties:
The calculation puts the calculated formation energy at -0.18 eV per atom. For the density of states at the Fermi level, the calculation gives 1.34 states/eV/atom.

***

[4]
The following is a DFT calculation (PBE) of a geometry-optimized LaAl2Se structure.

a = 7.1589 Å, b = 7.1589 Å, c = 7.1589 Å
α = 90.00°, β = 90.00°, γ = 90.00°
Space group F-43m (No. 216)
One atom of each set of equivalent atoms:
La1 0.0000 0.0000 0.0000 [4 per cell]
Al1 0.0000 0.0000 0.5000 [4 per cell]
Al2 0.2500 0.2500 0.7500 [4 per cell]
Se1 0.2500 0.2500 0.2500 [4 per cell]

Computed properties:
For the density of states at the Fermi level, the calculation gives 0.93 states/eV/atom. The value obtained for the energy relative to the elements, uncorrected is -0.43 eV/atom.

***

[5]
The following is a DFT calculation (PBE) of a geometry-optimized NaCa2Dy structure.

a = 6.1387 Å, b = 6.1387 Å, c = 3.9120 Å
α = 90.00°, β = 90.00°, γ = 90.00°
Space group P4/mmm (No. 123)
One atom of each set of equivalent atoms:
Na1 0.0000 0.0000 0.0000 [1 per cell]
Ca1 0.0000 0.5000 0.5000 [2 per cell]
Dy1 0.5000 0.5000 0.0000 [1 per cell]

Computed properties:
The calculation puts the calculated formation energy at 0.17 eV per atom. For the density of states at the Fermi level, the calculation gives 0.91 states/eV/atom.

***

[6]
The following is a DFT calculation (PBE) of a geometry-optimized TcAs2Ru structure.

a = 3.0371 Å, b = 5.2170 Å, c = 7.9508 Å
α = 90.00°, β = 90.00°, γ = 90.00°
Space group Immm (No. 71)
One atom of each set of equivalent atoms:
Tc1 0.0000 0.0000 0.0000 [2 per cell]
As1 0.0000 0.5000 0.2478 [4 per cell]
Ru1 0.0000 0.0000 0.5000 [2 per cell]

Computed properties:
The calculation puts the calculated formation energy at 0.30 eV per atom. For the density of states at the Fermi level, the calculation gives 0.85 states/eV/atom.

***

[7]
The following is a DFT calculation (PBE) of a geometry-optimized CrSeIN2 structure.

a = 3.8331 Å, b = 3.8331 Å, c = 5.5709 Å
α = 90.00°, β = 90.00°, γ = 90.00°
Space group P4/mmm (No. 123)
One atom of each set of equivalent atoms:
Cr1 0.0000 0.0000 0.0000 [1 per cell]
Se1 0.0000 0.0000 0.5000 [1 per cell]
I1 0.5000 0.5000 0.5000 [1 per cell]
N1 0.0000 0.5000 0.0000 [2 per cell]

Computed properties:
For the density of states at the Fermi level, the calculation gives 0.70 states/eV/atom. The value obtained for the energy relative to the elements, uncorrected is 0.82 eV/atom.

***

[8]
The following is a DFT calculation (PBE) of a geometry-optimized Rb2Ru2N structure.

a = 6.8593 Å, b = 6.8593 Å, c = 6.3536 Å
α = 90.00°, β = 90.00°, γ = 90.00°
Space group I4/mmm (No. 139)
One atom of each set of equivalent atoms:
Rb1 0.0000 0.5000 0.2500 [4 per cell]
Ru1 0.0000 0.0000 0.2221 [4 per cell]
N1 0.0000 0.0000 0.5000 [2 per cell]

Computed properties:
For the density of states at the Fermi level, the calculation gives 0.48 states/eV/atom. The value obtained for the energy relative to the elements, uncorrected is 1.10 eV/atom.

***

[9]
The following is a DFT calculation (PBE) of a geometry-optimized LiCaP2O6 structure.

a = 5.2146 Å, b = 5.2146 Å, c = 16.4105 Å
α = 90.00°, β = 90.00°, γ = 120.00°
Space group R-3 (No. 148, hexagonal axes)
One atom of each set of equivalent atoms:
Li1 0.0000 0.0000 0.0000 [3 per cell]
Ca1 0.0000 0.0000 0.5000 [3 per cell]
P1 0.0000 0.0000 0.2707 [6 per cell]
O1 0.0172 0.7213 0.7472 [18 per cell]

Computed properties:
For the density of states at the Fermi level, the calculation gives 0.38 states/eV/atom. The value obtained for the energy relative to the elements, uncorrected is -2.16 eV/atom.

***

[10]
The following is a DFT calculation (PBE) of a geometry-optimized CaSm14Ho structure.

a = 11.6595 Å, b = 7.3836 Å, c = 12.7654 Å
α = 90.00°, β = 90.00°, γ = 90.00°
Space group Amm2 (No. 38)
One atom of each set of equivalent atoms:
Ca1 0.0000 0.0000 0.0000 [2 per cell]
Sm1 0.0000 0.2489 0.7491 [4 per cell]
Sm2 0.2469 0.0000 0.6672 [4 per cell]
Sm3 0.2512 0.2460 0.4161 [8 per cell]
Sm4 0.2525 0.0000 0.1699 [4 per cell]
Sm5 0.5000 0.0000 0.0008 [2 per cell]
Sm6 0.5000 0.0000 0.5009 [2 per cell]
Sm7 0.5000 0.2503 0.2503 [4 per cell]
Ho1 0.0000 0.0000 0.5007 [2 per cell]

Computed properties:
The calculation puts the calculated formation energy at 0.04 eV per atom. For the density of states at the Fermi level, the calculation gives 1.65 states/eV/atom.

***

[11]
The following is a DFT calculation (PBE) of a geometry-optimized Y2SbRu structure.

a = 3.6676 Å, b = 4.5612 Å, c = 6.2107 Å
α = 90.00°, β = 90.00°, γ = 90.00°
Space group Pmm2 (No. 25)
One atom of each set of equivalent atoms:
Y1 0.0000 0.0000 0.0000 [1 per cell]
Y2 0.5000 0.5000 0.3475 [1 per cell]
Sb1 0.5000 0.5000 0.8350 [1 per cell]
Ru1 0.0000 0.0000 0.4254 [1 per cell]

Computed properties:
For the density of states at the Fermi level, the calculation gives 0.67 states/eV/atom. The value obtained for the energy relative to the elements, uncorrected is -0.30 eV/atom.

***

[12]
The following is a DFT calculation (PBE) of a geometry-optimized Ag4Se5 structure.

a = 9.4605 Å, b = 9.4605 Å, c = 5.1420 Å
α = 90.00°, β = 90.00°, γ = 120.00°
Space group P6_3/mcm (No. 193)
One atom of each set of equivalent atoms:
Ag1 0.0000 0.0000 0.0000 [2 per cell]
Ag2 0.0000 0.3436 0.2500 [6 per cell]
Se1 0.0000 0.2682 0.7500 [6 per cell]
Se2 0.3333 0.6667 0.0000 [4 per cell]

Computed properties:
For the density of states at the Fermi level, the calculation gives 0.91 states/eV/atom. The value obtained for the energy relative to the elements, uncorrected is 0.28 eV/atom.

***

[13]
The following is a DFT calculation (PBE) of a geometry-optimized TlRh2 structure.

a = 3.7961 Å, b = 3.7961 Å, c = 16.1075 Å
α = 90.00°, β = 90.00°, γ = 90.00°
Space group I4_1/amd (No. 141, origin choice 2)
One atom of each set of equivalent atoms:
Tl1 0.0000 0.2500 0.3750 [4 per cell]
Rh1 0.0000 0.2500 0.7995 [8 per cell]

Computed properties:
The calculation puts the calculated formation energy at 0.45 eV per atom. For the density of states at the Fermi level, the calculation gives 0.93 states/eV/atom.

***

[14]
The following is a DFT calculation (PBE) of a geometry-optimized RbBaCu2As2 structure.

a = 4.2374 Å, b = 4.2374 Å, c = 10.3373 Å
α = 90.00°, β = 90.00°, γ = 120.00°
Space group P-3m1 (No. 164)
One atom of each set of equivalent atoms:
Rb1 0.0000 0.0000 0.0000 [1 per cell]
Ba1 0.0000 0.0000 0.5000 [1 per cell]
Cu1 0.3333 0.6667 0.7376 [2 per cell]
As1 0.3333 0.6667 0.2670 [2 per cell]

Computed properties:
The calculation puts the calculated formation energy at -0.49 eV per atom. For the density of states at the Fermi level, the calculation gives 0.56 states/eV/atom.

***

[15]
The following is a DFT calculation (PBE) of a geometry-optimized TaRe2As structure.

a = 3.0070 Å, b = 3.0070 Å, c = 24.9162 Å
α = 90.00°, β = 90.00°, γ = 120.00°
Space group R-3m (No. 166, hexagonal axes)
One atom of each set of equivalent atoms:
Ta1 0.0000 0.0000 0.0000 [3 per cell]
Re1 0.0000 0.0000 0.2489 [6 per cell]
As1 0.0000 0.0000 0.5000 [3 per cell]

Computed properties:
The calculation puts the calculated formation energy at 0.26 eV per atom. For the density of states at the Fermi level, the calculation gives 1.15 states/eV/atom.

***

[16]
The following is a DFT calculation (PBE) of a geometry-optimized SnBi3Pt structure.

a = 5.4721 Å, b = 5.4721 Å, c = 5.4721 Å
α = 90.00°, β = 90.00°, γ = 90.00°
Space group Pm-3m (No. 221)
One atom of each set of equivalent atoms:
Sn1 0.0000 0.0000 0.0000 [1 per cell]
Bi1 0.0000 0.5000 0.5000 [3 per cell]
Pt1 0.5000 0.5000 0.5000 [1 per cell]

Computed properties:
The calculation puts the calculated formation energy at 0.31 eV per atom. For the density of states at the Fermi level, the calculation gives 0.65 states/eV/atom.

***

[17]
The following is a DFT calculation (PBE) of a geometry-optimized Pm3Er2Tl6 structure.

a = 4.8172 Å, b = 4.8172 Å, c = 29.1252 Å
α = 90.00°, β = 90.00°, γ = 90.00°
Space group I4/mmm (No. 139)
One atom of each set of equivalent atoms:
Pm1 0.0000 0.0000 0.0000 [2 per cell]
Pm2 0.0000 0.0000 0.1984 [4 per cell]
Er1 0.0000 0.0000 0.4463 [4 per cell]
Tl1 0.0000 0.0000 0.3060 [4 per cell]
Tl2 0.0000 0.5000 0.1168 [8 per cell]

Computed properties:
The calculation puts the calculated formation energy at -0.10 eV per atom. For the density of states at the Fermi level, the calculation gives 0.78 states/eV/atom.

***

[18]
The following is a DFT calculation (PBE) of a geometry-optimized LiPrGd2 structure.

a = 3.5206 Å, b = 3.5206 Å, c = 36.8732 Å
α = 90.00°, β = 90.00°, γ = 120.00°
Space group R-3m (No. 166, hexagonal axes)
One atom of each set of equivalent atoms:
Li1 0.0000 0.0000 0.0000 [3 per cell]
Pr1 0.0000 0.0000 0.5000 [3 per cell]
Gd1 0.0000 0.0000 0.0876 [6 per cell]

Computed properties:
The calculation puts the calculated formation energy at 0.18 eV per atom. For the density of states at the Fermi level, the calculation gives 1.24 states/eV/atom.

***

[19]
The following is a DFT calculation (PBE) of a geometry-optimized Tb2PrSc structure.

a = 4.9536 Å, b = 4.9536 Å, c = 5.0380 Å
α = 90.00°, β = 90.00°, γ = 90.00°
Space group P4/mmm (No. 123)
One atom of each set of equivalent atoms:
Tb1 0.0000 0.5000 0.0000 [2 per cell]
Pr1 0.0000 0.0000 0.5000 [1 per cell]
Sc1 0.5000 0.5000 0.5000 [1 per cell]

Computed properties:
The calculation puts the calculated formation energy at 0.04 eV per atom. For the density of states at the Fermi level, the calculation gives 1.53 states/eV/atom.

***

[20]
The following is a DFT calculation (PBE) of a geometry-optimized In2SbMo structure.

a = 6.3293 Å, b = 8.8964 Å, c = 3.0739 Å
α = 90.00°, β = 90.00°, γ = 90.00°
Space group Cmmm (No. 65)
One atom of each set of equivalent atoms:
In1 0.2500 0.2500 0.0000 [4 per cell]
Sb1 0.0000 0.0000 0.5000 [2 per cell]
Mo1 0.0000 0.5000 0.5000 [2 per cell]

Computed properties:
For the density of states at the Fermi level, the calculation gives 0.99 states/eV/atom. The value obtained for the energy relative to the elements, uncorrected is 0.50 eV/atom.